No. 1
# Tb2ErSi2Pt7

A relaxed Tb2ErSi2Pt7 crystal (PBE-GGA, Alexandria via LeMat-Bulk).

It has space group C2/m (No. 12), with a = 5.730 Å, b = 5.683 Å, c = 13.784 Å, α = 90.00°, β = 98.65° and γ = 90.00°. Symmetry generates all atoms from Tb at (0.116, 0.000, 0.356), Er at (0.000, 0.000, 0.000), Si at (0.094, 0.500, 0.256), Pt at (0.000, 0.500, 0.000), Pt at (0.132, 0.500, 0.427) and Pt at (0.191, 0.250, 0.840).

The calculation puts the raw formation energy at -1.142 eV per atom.



No. 2
# TbEr2Si2Pt7

A relaxed TbEr2Si2Pt7 crystal (PBE-GGA, Alexandria via LeMat-Bulk).

It has space group C2/m (No. 12), with a = 5.723 Å, b = 5.670 Å, c = 13.780 Å, α = 90.00°, β = 99.08° and γ = 90.00°. Symmetry generates all atoms from Tb at (0.000, 0.000, 0.000), Er at (0.122, 0.000, 0.357), Si at (0.100, 0.500, 0.260), Pt at (0.000, 0.500, 0.000), Pt at (0.139, 0.500, 0.430) and Pt at (0.187, 0.250, 0.837).

The calculation puts the raw formation energy at -1.117 eV per atom.



No. 3
# TbErSiPt

A relaxed TbErSiPt crystal (PBE-GGA, Alexandria via LeMat-Bulk).

It has space group Amm2 (No. 38), with a = 4.168 Å, b = 3.984 Å, c = 10.685 Å, α = 90.00°, β = 90.00° and γ = 90.00°. Symmetry generates all atoms from Tb at (0.000, 0.000, 0.000), Er at (0.500, 0.000, 0.718), Si at (0.000, 0.000, 0.281) and Pt at (0.500, 0.000, 0.436).

The calculation puts the raw formation energy at -1.038 eV per atom.



No. 4
# Tb2ErSi3Pt4

A relaxed Tb2ErSi3Pt4 crystal (PBE-GGA, Alexandria via LeMat-Bulk).

It has space group P-4m2 (No. 115), with a = 4.187 Å, b = 4.187 Å, c = 10.930 Å, α = 90.00°, β = 90.00° and γ = 90.00°. Symmetry generates all atoms from Tb at (0.000, 0.500, 0.224), Er at (0.000, 0.000, 0.500), Si at (0.000, 0.500, 0.878), Si at (0.500, 0.500, 0.500), Pt at (0.000, 0.000, 0.000), Pt at (0.000, 0.500, 0.661) and Pt at (0.500, 0.500, 0.000).

The calculation puts the raw formation energy at -1.069 eV per atom.



No. 5
# Er8SiTe4Pt3

A relaxed Er8SiTe4Pt3 crystal (PBE-GGA, Alexandria via LeMat-Bulk).

It has space group R-3m (No. 166, hexagonal axes), with a = 8.2547 Å, b = 8.2547 Å, c = 21.6646 Å, α = 90.00°, β = 90.00° and γ = 120.00°. Symmetry generates all atoms from Er at (0.0000, 0.0000, 0.2370), Er at (0.0027, 0.5014, 0.7615), Si at (0.0000, 0.0000, 0.5000), Te at (0.0000, 0.0000, 0.0000), Te at (0.0000, 0.5000, 0.0000) and Pt at (0.0000, 0.5000, 0.5000).

The calculation puts the raw formation energy at -1.190 eV per atom.



No. 6
# Er8Si3Te4Pt

A relaxed Er8Si3Te4Pt crystal (PBE-GGA, Alexandria via LeMat-Bulk).

It has space group C2/m (No. 12), with a = 14.469 Å, b = 8.353 Å, c = 8.538 Å, α = 90.00°, β = 124.39° and γ = 90.00°. Symmetry generates all atoms from Er at (0.012, 0.249, 0.284), Er at (0.240, 0.000, 0.719), Er at (0.240, 0.500, 0.717), Si at (0.000, 0.000, 0.500), Si at (0.250, 0.250, 0.500), Te at (0.000, 0.000, 0.000), Te at (0.000, 0.500, 0.000), Te at (0.250, 0.250, 0.000) and Pt at (0.000, 0.500, 0.500).

The calculation puts the raw formation energy at -1.097 eV per atom.



no.,DOS at the Fermi energy (states/eV per atom)
1,0.4197
2,0.3744
3,0.7835
4,0.7538
5,0.6534
6,0.3730